Entry 1:
Density functional theory data (GGA-PBE) for a relaxed Li2Pm2Pt15 crystal.

Results
* formation energy from the elements: -56.4 kJ/mol of atoms

Unit cell a=9.2651 b=9.2651 c=13.4832 alpha=90.00 beta=90.00 gamma=120.00
Closest atoms and distances in Å follow each position.
Space group R-3m (No. 166, hexagonal axes)
Asymmetric unit:
Li  0.0000  0.0000  0.0953 (multiplicity 6)  1 Li 2.57, 6 Pt 2.84-2.88
Pm  0.0000  0.0000  0.3448 (multiplicity 6)  12 Pt 3.17-3.44, 1 Li 3.36
Pt  0.0000  0.3179  0.0000 (multiplicity 18)  8 Pt 2.69-2.95
Pt  0.0000  0.5000  0.5000 (multiplicity 9)  8 Pt 2.68-2.69, 2 Li 2.84
Pt  0.0011  0.5005  0.1605 (multiplicity 18)  8 Pt 2.67-2.76, 1 Li 2.88

***

Entry 2:
Density functional theory data (GGA-PBE) for a relaxed LiPm8Pt2 crystal.

Results
* formation energy from the elements: -38.9 kJ/mol of atoms

Unit cell a=18.8022 b=5.2036 c=6.9485 alpha=90.00 beta=109.63 gamma=90.00
Closest atoms and distances in Å follow each position.
Space group C2/m (No. 12)
Asymmetric unit:
Li  0.0000  0.0000  0.0000 (multiplicity 2)  8 Pm 3.17-3.33
Pm  0.0288  0.5000  0.7770 (multiplicity 4)  1 Pt 2.79
Pm  0.0948  0.0000  0.4848 (multiplicity 4)  2 Pt 3.18, 1 Li 3.24, 3 Pm 3.39-3.55
Pm  0.1770  0.0000  0.0004 (multiplicity 4)  3 Pt 2.84-3.18
Pm  0.1978  0.5000  0.3414 (multiplicity 4)  1 Pt 2.93
Pt  0.1706  0.5000  0.7320 (multiplicity 4)  3 Pm 2.79-2.93

***

Entry 3:
Density functional theory data (GGA-PBE) for a relaxed LiPm2Pt3 crystal.

Results
* formation energy from the elements: -87.7 kJ/mol of atoms
* excess energy over the best structure of this formula in the dataset: 0 meV per atom

Unit cell a=7.5279 b=8.6065 c=15.6442 alpha=90.00 beta=90.00 gamma=90.00
Closest atoms and distances in Å follow each position.
Space group Fmmm (No. 69)
Asymmetric unit:
Li  0.0000  0.0000  0.1652 (multiplicity 8)  3 Pt 2.43-2.46
Pm  0.2485  0.0000  0.5000 (multiplicity 8)  10 Pt 3.11-3.35, 2 Li 3.20
Pm  0.2500  0.2500  0.2500 (multiplicity 8)  8 Pt 3.08-3.20, 4 Li 3.15
Pt  0.0000  0.0000  0.3225 (multiplicity 8)  1 Li 2.46, 2 Pt 2.65
Pt  0.0000  0.2420  0.0850 (multiplicity 16)  1 Li 2.43, 2 Pt 2.65-2.66

***

Entry 4:
Density functional theory data (GGA-PBE) for a relaxed Li2PmPt2 crystal.

Results
* formation energy from the elements: -72.6 kJ/mol of atoms

Unit cell a=3.8288 b=3.8288 c=12.8352 alpha=90.00 beta=90.00 gamma=90.00
Closest atoms and distances in Å follow each position.
Space group I4/mmm (No. 139)
Asymmetric unit:
Li  0.0000  0.5000  0.2500 (multiplicity 4)  4 Pt 2.64, 4 Li 2.71
Pm  0.0000  0.0000  0.0000 (multiplicity 2)  8 Pt 3.04
Pt  0.0000  0.0000  0.3921 (multiplicity 4)  4 Li 2.64, 1 Pt 2.77

***

Entry 5:
Density functional theory data (GGA-PBE) for a relaxed Li5Pm4Pt6 crystal.

Results
* formation energy from the elements: -72.6 kJ/mol of atoms

Unit cell a=4.0943 b=20.0721 c=15.0367 alpha=90.00 beta=90.00 gamma=90.00
Closest atoms and distances in Å follow each position.
Space group Cmc2_1 (No. 36)
Asymmetric unit:
Li  0.0000  0.0650  0.0000 (multiplicity 4)  3 Pt 2.46-2.68
Li  0.0000  0.1439  0.3202 (multiplicity 4)  4 Pt 2.53-2.66
Li  0.0000  0.1623  0.5876 (multiplicity 4)  4 Pt 2.54-2.79
Li  0.0000  0.1972  0.9415 (multiplicity 4)  4 Pt 2.57-2.62, 1 Li 2.80
Li  0.0000  0.3448  0.9557 (multiplicity 4)  4 Pt 2.52-2.73
Pm  0.0000  0.3139  0.2659 (multiplicity 4)  6 Pt 2.86-2.99
Pm  0.0000  0.3369  0.6322 (multiplicity 4)  6 Pt 2.89-3.06
Pm  0.0000  0.4690  0.1002 (multiplicity 4)  6 Pt 3.00-3.06, 5 Li 3.19-3.34
Pm  0.0000  0.4933  0.8389 (multiplicity 4)  7 Pt 2.90-3.24
Pt  0.0000  0.0574  0.1866 (multiplicity 4)  2 Li 2.66-2.81, 1 Pt 2.85
Pt  0.0000  0.0652  0.4618 (multiplicity 4)  5 Li 2.65-2.73
Pt  0.0000  0.0795  0.7365 (multiplicity 4)  1 Li 2.79, 1 Pt 2.85, 6 Pm 2.99-3.09
Pt  0.0000  0.2624  0.0885 (multiplicity 4)  4 Li 2.54-2.59
Pt  0.0000  0.2826  0.8099 (multiplicity 4)  4 Li 2.52-2.62
Pt  0.0000  0.3836  0.4401 (multiplicity 4)  4 Li 2.46-2.61

***

Entry 6:
Density functional theory data (GGA-PBE) for a relaxed Li5PmPt2 crystal.

Results
* formation energy from the elements: -48.1 kJ/mol of atoms

Unit cell a=3.9396 b=8.1226 c=9.4045 alpha=90.00 beta=90.00 gamma=90.00
Closest atoms and distances in Å follow each position.
Space group Immm (No. 71)
Asymmetric unit:
Li  0.0000  0.0000  0.0000 (multiplicity 2)  2 Pt 2.57
Li  0.0000  0.3177  0.3314 (multiplicity 8)  3 Pt 2.64-2.65, 4 Li 2.73-2.93
Pm  0.0000  0.5000  0.0000 (multiplicity 2)  4 Pt 2.90
Pt  0.0000  0.0000  0.2732 (multiplicity 4)  7 Li 2.57-2.65

***

Entry 7:
Density functional theory data (GGA-PBE) for a relaxed Li2Pm3Pt3 crystal.

Results
* formation energy from the elements: -83.8 kJ/mol of atoms
* excess energy over the best structure of this formula in the dataset: 0 meV per atom

Unit cell a=3.9810 b=12.5188 c=14.1707 alpha=90.00 beta=90.00 gamma=90.00
Closest atoms and distances in Å follow each position.
Space group Cmcm (No. 63)
Asymmetric unit:
Li  0.0000  0.2309  0.0725 (multiplicity 8)  4 Pt 2.60-2.85, 2 Li 2.90
Pm  0.0000  0.0667  0.6121 (multiplicity 8)  6 Pt 3.02-3.06, 3 Li 3.27-3.33
Pm  0.0000  0.3392  0.7500 (multiplicity 4)  4 Pt 2.95-2.98
Pt  0.0000  0.3385  0.2500 (multiplicity 4)  2 Li 2.85, 6 Pm 2.98-3.03
Pt  0.0000  0.3999  0.5491 (multiplicity 8)  3 Li 2.60-2.73, 1 Pt 2.87

***

Entry 8:
Density functional theory data (GGA-PBE) for a relaxed LiPm7Pt4 crystal.

Results
* formation energy from the elements: -61.1 kJ/mol of atoms

Unit cell a=14.2213 b=5.3148 c=10.5674 alpha=90.00 beta=126.90 gamma=90.00
Closest atoms and distances in Å follow each position.
Space group C2/m (No. 12)
Asymmetric unit:
Li  0.0000  0.0000  0.0000 (multiplicity 2)  2 Pm 2.66
Pm  0.0000  0.5000  0.0000 (multiplicity 2)  2 Li 2.66, 4 Pt 2.89-2.94
Pm  0.0906  0.0000  0.3523 (multiplicity 4)  1 Pt 2.84, 1 Li 3.12
Pm  0.1593  0.5000  0.6126 (multiplicity 4)  3 Pt 2.82-3.09
Pm  0.2042  0.0000  0.8730 (multiplicity 4)  4 Pt 3.00-3.12, 1 Pm 3.36
Pt  0.0642  0.5000  0.7819 (multiplicity 4)  5 Pm 2.82-3.12
Pt  0.2088  0.5000  0.3250 (multiplicity 4)  5 Pm 2.84-3.09